Record 1
# TmPu3S4 | Alexandria | GGA-PBE | relaxed
data_TmPu3S4
_symmetry_space_group_name_H-M 'C m m m'
_symmetry_Int_Tables_number 65
_symmetry_space_group_name_Hall '-C 2 2'
_cell_length_a 7.8771
_cell_length_b 11.1187
_cell_length_c 3.9303
_cell_angle_alpha 90.00
_cell_angle_beta 90.00
_cell_angle_gamma 90.00
loop_
_atom_site_label
_atom_site_type_symbol
_atom_site_fract_x
_atom_site_fract_y
_atom_site_fract_z
Tm1 Tm 0.0000 0.0000 0.0000
Pu1 Pu 0.0000 0.5000 0.0000
Pu2 Pu 0.2500 0.2500 0.5000
S1 S 0.0000 0.2474 0.0000
S2 S 0.2442 0.0000 0.5000
# - formation energy without anion corrections (eV per atom) = -1.82

=====

Record 2
# Tm3PuS6 | Alexandria | GGA-PBE | relaxed
data_Tm3PuS6
_symmetry_space_group_name_H-M 'P 1 21/m 1'
_symmetry_Int_Tables_number 11
_cell_length_a 10.9683
_cell_length_b 3.9232
_cell_length_c 11.1397
_cell_angle_alpha 90.00
_cell_angle_beta 108.75
_cell_angle_gamma 90.00
loop_
_symmetry_equiv_pos_as_xyz
'x,y,z'
'-x,-y,-z'
'-x,y+1/2,-z'
'x,-y+1/2,z'
loop_
_atom_site_label
_atom_site_type_symbol
_atom_site_fract_x
_atom_site_fract_y
_atom_site_fract_z
Tm1 Tm 0.0640 0.2500 0.1667
Tm2 Tm 0.1793 0.7500 0.5021
Tm3 Tm 0.3407 0.2500 0.9163
Pu1 Pu 0.4526 0.2500 0.3112
S1 S 0.0223 0.2500 0.3873
S2 S 0.1034 0.2500 0.9373
S3 S 0.2403 0.7500 0.2746
S4 S 0.3049 0.7500 0.7509
S5 S 0.3832 0.2500 0.5390
S6 S 0.4187 0.7500 0.0976
# - formation energy without anion corrections (eV per atom) = -1.96

=====

Record 3
# Tm4PuS6 | Alexandria | GGA-PBE | relaxed
data_Tm4PuS6
_symmetry_space_group_name_H-M 'C m c m'
_symmetry_Int_Tables_number 63
_symmetry_space_group_name_Hall '-C 2c 2'
_cell_length_a 3.8371
_cell_length_b 12.7217
_cell_length_c 19.5280
_cell_angle_alpha 90.00
_cell_angle_beta 90.00
_cell_angle_gamma 90.00
loop_
_atom_site_label
_atom_site_type_symbol
_atom_site_fract_x
_atom_site_fract_y
_atom_site_fract_z
Tm1 Tm 0.0000 0.0925 0.1287
Tm2 Tm 0.0000 0.3618 0.0413
Pu1 Pu 0.0000 0.1559 0.7500
S1 S 0.0000 0.0000 0.0000
S2 S 0.0000 0.1844 0.2500
S3 S 0.0000 0.2696 0.5877
S4 S 0.0000 0.4554 0.1650
# - formation energy without anion corrections (eV per atom) = -1.95

=====

Record 4
# Tm2Pu2S7 | Alexandria | GGA-PBE | relaxed
data_Tm2Pu2S7
_symmetry_space_group_name_H-M 'I m m 2'
_symmetry_Int_Tables_number 44
_cell_length_a 3.8744
_cell_length_b 13.8707
_cell_length_c 8.4967
_cell_angle_alpha 90.00
_cell_angle_beta 90.00
_cell_angle_gamma 90.00
loop_
_symmetry_equiv_pos_as_xyz
'x,y,z'
'-x,-y,z'
'-x,y,z'
'x,-y,z'
'x+1/2,y+1/2,z+1/2'
'-x+1/2,-y+1/2,z+1/2'
'-x+1/2,y+1/2,z+1/2'
'x+1/2,-y+1/2,z+1/2'
loop_
_atom_site_label
_atom_site_type_symbol
_atom_site_fract_x
_atom_site_fract_y
_atom_site_fract_z
Tm1 Tm 0.0000 0.0000 0.0000
Tm2 Tm 0.0000 0.5000 0.0405
Pu1 Pu 0.0000 0.2426 0.2391
S1 S 0.0000 0.0000 0.3197
S2 S 0.0000 0.1092 0.7220
S3 S 0.0000 0.3163 0.9354
S4 S 0.0000 0.3625 0.5488
# - formation energy without anion corrections (eV per atom) = -1.64

=====

Record 5
# TmPuU2S4 | Alexandria | GGA-PBE | relaxed
data_TmPuU2S4
_symmetry_space_group_name_H-M 'P 1 2/m 1'
_symmetry_Int_Tables_number 10
_cell_length_a 6.5818
_cell_length_b 3.7938
_cell_length_c 6.9423
_cell_angle_alpha 90.00
_cell_angle_beta 108.36
_cell_angle_gamma 90.00
loop_
_symmetry_equiv_pos_as_xyz
'x,y,z'
'-x,-y,-z'
'-x,y,-z'
'x,-y,z'
loop_
_atom_site_label
_atom_site_type_symbol
_atom_site_fract_x
_atom_site_fract_y
_atom_site_fract_z
Tm1 Tm 0.0000 0.0000 0.0000
Pu1 Pu 0.5000 0.5000 0.0000
U1 U 0.0000 0.5000 0.5000
U2 U 0.5000 0.0000 0.5000
S1 S 0.2442 0.5000 0.2454
S2 S 0.2473 0.0000 0.7527
# - formation energy without anion corrections (eV per atom) = -1.61

=====

Record 6
# TmPu2US4 | Alexandria | GGA-PBE | relaxed
data_TmPu2US4
_symmetry_space_group_name_H-M 'P 1 2/m 1'
_symmetry_Int_Tables_number 10
_cell_length_a 6.7733
_cell_length_b 3.8696
_cell_length_c 6.7931
_cell_angle_alpha 90.00
_cell_angle_beta 108.89
_cell_angle_gamma 90.00
loop_
_symmetry_equiv_pos_as_xyz
'x,y,z'
'-x,-y,-z'
'-x,y,-z'
'x,-y,z'
loop_
_atom_site_label
_atom_site_type_symbol
_atom_site_fract_x
_atom_site_fract_y
_atom_site_fract_z
Tm1 Tm 0.0000 0.0000 0.0000
Pu1 Pu 0.0000 0.5000 0.5000
Pu2 Pu 0.5000 0.0000 0.5000
U1 U 0.5000 0.5000 0.0000
S1 S 0.2461 0.5000 0.2436
S2 S 0.2490 0.0000 0.7531
# - formation energy without anion corrections (eV per atom) = -1.71

=====

Record 7
# YTm2PuS4 | Alexandria | GGA-PBE | relaxed
data_YTm2PuS4
_symmetry_space_group_name_H-M 'P 1 2/m 1'
_symmetry_Int_Tables_number 10
_cell_length_a 6.7369
_cell_length_b 3.8727
_cell_length_c 6.7493
_cell_angle_alpha 90.00
_cell_angle_beta 109.17
_cell_angle_gamma 90.00
loop_
_symmetry_equiv_pos_as_xyz
'x,y,z'
'-x,-y,-z'
'-x,y,-z'
'x,-y,z'
loop_
_atom_site_label
_atom_site_type_symbol
_atom_site_fract_x
_atom_site_fract_y
_atom_site_fract_z
Y1 Y 0.0000 0.0000 0.0000
Tm1 Tm 0.0000 0.5000 0.5000
Tm2 Tm 0.5000 0.0000 0.5000
Pu1 Pu 0.5000 0.5000 0.0000
S1 S 0.2458 0.0000 0.7414
S2 S 0.2513 0.5000 0.2579
# - formation energy without anion corrections (eV per atom) = -1.93

=====

Record 8
# Y4TmPu3S8 | Alexandria | GGA-PBE | relaxed
data_Y4TmPu3S8
_symmetry_space_group_name_H-M 'R -3 m'
_symmetry_Int_Tables_number 166
_symmetry_space_group_name_Hall '-R 3 2"'
_cell_length_a 7.8274
_cell_length_b 7.8274
_cell_length_c 19.2838
_cell_angle_alpha 90.00
_cell_angle_beta 90.00
_cell_angle_gamma 120.00
loop_
_atom_site_label
_atom_site_type_symbol
_atom_site_fract_x
_atom_site_fract_y
_atom_site_fract_z
Y1 Y 0.0000 0.0000 0.0000
Y2 Y 0.0000 0.5000 0.0000
Tm1 Tm 0.0000 0.0000 0.5000
Pu1 Pu 0.0000 0.5000 0.5000
S1 S 0.0000 0.0000 0.2506
S2 S 0.0043 0.5022 0.2499
# - formation energy without anion corrections (eV per atom) = -1.93

=====

Record 9
# Tm2PuZrS4 | Alexandria | GGA-PBE | relaxed
data_Tm2PuZrS4
_symmetry_space_group_name_H-M 'P 1 2/m 1'
_symmetry_Int_Tables_number 10
_cell_length_a 6.5925
_cell_length_b 3.8124
_cell_length_c 6.6894
_cell_angle_alpha 90.00
_cell_angle_beta 109.10
_cell_angle_gamma 90.00
loop_
_symmetry_equiv_pos_as_xyz
'x,y,z'
'-x,-y,-z'
'-x,y,-z'
'x,-y,z'
loop_
_atom_site_label
_atom_site_type_symbol
_atom_site_fract_x
_atom_site_fract_y
_atom_site_fract_z
Tm1 Tm 0.0000 0.0000 0.0000
Tm2 Tm 0.5000 0.5000 0.0000
Pu1 Pu 0.0000 0.5000 0.5000
Zr1 Zr 0.5000 0.0000 0.5000
S1 S 0.2554 0.5000 0.2501
S2 S 0.2567 0.0000 0.7542
# - formation energy without anion corrections (eV per atom) = -1.78

=====

Record 10
# TmPu2ZrS4 | Alexandria | GGA-PBE | relaxed
data_TmPu2ZrS4
_symmetry_space_group_name_H-M 'P 1 2/m 1'
_symmetry_Int_Tables_number 10
_cell_length_a 6.5957
_cell_length_b 3.8514
_cell_length_c 6.7600
_cell_angle_alpha 90.00
_cell_angle_beta 109.52
_cell_angle_gamma 90.00
loop_
_symmetry_equiv_pos_as_xyz
'x,y,z'
'-x,-y,-z'
'-x,y,-z'
'x,-y,z'
loop_
_atom_site_label
_atom_site_type_symbol
_atom_site_fract_x
_atom_site_fract_y
_atom_site_fract_z
Tm1 Tm 0.0000 0.0000 0.0000
Pu1 Pu 0.5000 0.0000 0.5000
Pu2 Pu 0.5000 0.5000 0.0000
Zr1 Zr 0.0000 0.5000 0.5000
S1 S 0.2387 0.0000 0.7441
S2 S 0.2394 0.5000 0.2501
# - formation energy without anion corrections (eV per atom) = -1.74

=====

Record 11
# Pu6US8 | Alexandria | GGA-PBE | relaxed
data_Pu6US8
_symmetry_space_group_name_H-M 'F m -3 m'
_symmetry_Int_Tables_number 225
_symmetry_space_group_name_Hall '-F 4 2 3'
_cell_length_a 11.2041
_cell_length_b 11.2041
_cell_length_c 11.2041
_cell_angle_alpha 90.00
_cell_angle_beta 90.00
_cell_angle_gamma 90.00
loop_
_atom_site_label
_atom_site_type_symbol
_atom_site_fract_x
_atom_site_fract_y
_atom_site_fract_z
Pu1 Pu 0.0000 0.2500 0.2500
U1 U 0.0000 0.0000 0.0000
S1 S 0.0000 0.0000 0.2444
S2 S 0.2500 0.2500 0.2500
# - formation energy without anion corrections (eV per atom) = -1.69

=====

Record 12
# Pu5U3S8 | Alexandria | GGA-PBE | relaxed
data_Pu5U3S8
_symmetry_space_group_name_H-M 'R -3 m'
_symmetry_Int_Tables_number 166
_symmetry_space_group_name_Hall '-R 3 2"'
_cell_length_a 7.6933
_cell_length_b 7.6933
_cell_length_c 19.7456
_cell_angle_alpha 90.00
_cell_angle_beta 90.00
_cell_angle_gamma 120.00
loop_
_atom_site_label
_atom_site_type_symbol
_atom_site_fract_x
_atom_site_fract_y
_atom_site_fract_z
Pu1 Pu 0.0000 0.0000 0.0000
Pu2 Pu 0.0000 0.0000 0.5000
Pu3 Pu 0.0000 0.5000 0.0000
U1 U 0.0000 0.5000 0.5000
S1 S 0.0000 0.0000 0.2499
S2 S 0.0011 0.5005 0.7502
# - formation energy without anion corrections (eV per atom) = -1.60

=====

- The lowest formation energy without anion corrections belongs to which entry?
  Tm3PuS6

=====

- formation energy without anion corrections of number 5 (TmPuU2S4)?
  -1.61 eV per atom